Material: Al5Co4Au
Method: DFT, GGA-PBE
State: relaxed

Geometry as POSCAR:
```
Al5Co4Au
1.0
2.866 0.000 0.000
0.000 2.866 0.000
0.000 0.000 15.350
Al Au Co
5 1 4
direct
0.500 0.500 0.500
0.500 0.500 0.686
0.500 0.500 0.314
0.500 0.500 0.871
0.500 0.500 0.129
0.000 0.000 0.000
0.000 0.000 0.593
0.000 0.000 0.220
0.000 0.000 0.780
0.000 0.000 0.407
```

Calculated values
Crystal system = tetragonal
Energy of formation from the pure elements = -0.532 eV per atom

Material: TlWSe2
Method: DFT, GGA-PBE
State: relaxed

Geometry as POSCAR:
```
TlWSe2
1.0
3.132 0.000 0.000
0.000 3.132 0.000
0.000 0.000 9.200
W Se Tl
1 2 1
direct
0.500 0.500 0.750
0.000 0.000 0.583
0.000 0.000 0.917
0.500 0.500 0.250
```

Calculated values
E above lowest polymorph = 101 meV/atom
Crystal system = tetragonal
Formation energy from raw total energies = -0.102 eV/atom

Material: Ba4Ti3AgO12
Method: DFT, GGA-PBE
State: relaxed

Geometry as POSCAR:
```
Ba4Ti3AgO12
1.0
-2.144 -6.673 -0.947
6.736 0.627 -2.062
-0.539 1.701 6.844
Ba Ti O Ag
4 3 12 1
direct
0.500 0.500 0.500
0.500 0.000 0.000
0.000 0.500 0.000
0.000 0.000 0.500
0.000 0.500 0.500
0.500 0.000 0.500
0.500 0.500 0.000
0.750 0.250 0.500
0.264 0.264 0.000
0.250 0.750 0.500
0.750 0.500 0.250
0.264 0.000 0.264
0.736 0.736 0.000
0.500 0.750 0.250
0.500 0.250 0.750
0.000 0.264 0.264
0.736 0.000 0.736
0.250 0.500 0.750
0.000 0.736 0.736
0.000 0.000 0.000
```

Calculated values
Crystal system = cubic
Formation energy from raw total energies = -2.535 eV/atom

Material: Li2ScAgI6
Method: DFT, GGA-PBE
State: relaxed

Geometry as POSCAR:
```
Li2ScAgI6
1.0
7.492 -0.001 -0.004
3.745 6.489 -0.003
3.743 2.163 7.013
I Ag Li Sc
6 1 2 1
direct
0.256 0.940 0.214
0.395 0.742 0.730
0.940 0.589 0.215
0.590 0.256 0.214
0.133 0.395 0.730
0.742 0.133 0.730
0.746 0.746 0.761
0.525 0.525 0.425
0.002 0.002 0.994
0.333 0.333 0.002
```

Calculated values
Crystal system = trigonal
Formation energy from raw total energies = -0.993 eV/atom

Material: KTcSe2
Method: DFT, GGA-PBE
State: relaxed

Geometry as POSCAR:
```
KTcSe2
1.0
3.724 0.000 0.000
0.000 3.269 -0.008
0.000 0.011 7.776
Se Tc K
2 1 1
direct
0.000 0.250 0.464
0.000 0.250 0.036
0.500 0.250 0.250
0.500 0.750 0.750
```

Calculated values
E above lowest polymorph = 271 meV/atom
Crystal system = monoclinic
Formation energy from raw total energies = -0.221 eV/atom

Material: BaVOs2
Method: DFT, GGA-PBE
State: relaxed

Geometry as POSCAR:
```
BaVOs2
1.0
-2.099 -3.945 -2.437
-1.116 -2.167 4.469
-8.736 0.709 1.061
Os V Ba
4 2 2
direct
0.375 0.625 0.750
0.375 0.125 0.250
0.875 0.625 0.750
0.375 0.625 0.250
0.500 0.500 0.000
0.250 0.750 0.500
0.750 0.250 0.500
0.000 0.000 0.000
```

Calculated values
E above lowest polymorph = 0 meV/atom
Crystal system = tetragonal
Energy of formation from the pure elements = 0.829 eV per atom

Number 1: E -55.7 eV per cell. Number 2: E -22.7 eV per cell. Number 3: E -144.4 eV per cell. Number 4: E -32.2 eV per cell. Number 5: E -19.3 eV per cell. Number 6: E -60.4 eV per cell.